Here is a relaxed structure of BaPaSn from Alexandria. Energies are from GGA-PBE.

It has space group P-6m2 (No. 187), with a = 3.4418 Å, b = 3.4418 Å, c = 18.2634 Å, α = 90.00°, β = 90.00° and γ = 120.00°. Symmetry generates all atoms from Ba at (0.0000, 0.0000, 0.1659), Pa at (0.3333, 0.6667, 0.3575), Sn at (0.0000, 0.0000, 0.5000) and Sn at (0.3333, 0.6667, 0.0000).

As for the total magnetization: 0.001 μB/cell. The density of states at the Fermi level comes out at 10.748 states/eV/cell. For the total energy, the calculation gives -29.4 eV/cell. The mass density is 8.6 Mg/m³.

Here is a relaxed structure of BaPaSn2 from Alexandria. Energies are from GGA-PBE.

It has space group P4/mmm (No. 123), with a = 3.564 Å, b = 3.564 Å, c = 9.475 Å, α = 90.00°, β = 90.00° and γ = 90.00°. Symmetry generates all atoms from Ba at (0.000, 0.000, 0.000), Pa at (0.000, 0.000, 0.500) and Sn at (0.500, 0.500, 0.275).

As for the total magnetization: 0.509 μB/cell. The distance to the lowest polymorph of the same formula is 0.0 meV/atom. The density of states at the Fermi level comes out at 5.172 states/eV/cell. The mass density is 8.4 Mg/m³.

Here is a relaxed structure of BaSr2Pa from Alexandria. Energies are from GGA-PBE.

It has space group R-3m (No. 166, hexagonal axes), with a = 3.8071 Å, b = 3.8071 Å, c = 40.2372 Å, α = 90.00°, β = 90.00° and γ = 120.00°. Symmetry generates all atoms from Ba at (0.0000, 0.0000, 0.0000), Sr at (0.0000, 0.0000, 0.2414) and Pa at (0.0000, 0.0000, 0.5000).

As for the total magnetization: 2.633 μB/cell. The density of states at the Fermi level comes out at 23.130 states/eV/cell. For the total energy, the calculation gives -37.9 eV/cell. The mass density is 5.4 Mg/m³.